Entry from OQMD via LeMat-Bulk: a geometry-optimized Co3P2O8 structure (PBE with a Hubbard U).

- Energy above the most stable polymorph in this dataset: 0.0 meV/atom

Lattice parameters (Å, degrees): 5.0742 8.3061 8.7514 90.00 121.25 90.00
Element x y z (fractional)
Co 0.0000 0.0000 0.0000
Co 0.0000 0.5000 0.5000
Co 0.0203 0.1405 0.6150
Co 0.0203 0.3595 0.1150
Co 0.9797 0.6405 0.8850
Co 0.9797 0.8595 0.3850
P 0.3436 0.6950 0.3053
P 0.3436 0.8050 0.8053
P 0.6564 0.1950 0.1947
P 0.6564 0.3050 0.6947
O 0.1892 0.5790 0.1432
O 0.1892 0.9210 0.6432
O 0.1957 0.6341 0.7472
O 0.1957 0.8659 0.2472
O 0.2817 0.6411 0.4522
O 0.2817 0.8589 0.9522
O 0.3078 0.1958 0.1236
O 0.3078 0.3042 0.6236
O 0.6922 0.6958 0.3764
O 0.6922 0.8042 0.8764
O 0.7183 0.1411 0.0478
O 0.7183 0.3589 0.5478
O 0.8043 0.1341 0.7528
O 0.8043 0.3659 0.2528
O 0.8108 0.0790 0.3568
O 0.8108 0.4210 0.8568